Arrangement a

Below is a geometry-optimized ReBi3O structure, with properties calculated at the GGA-PBE level.

total moment: 0.0 μB/f.u.
mass density: 9.4 Mg/m³

a = 5.2675 Å, b = 5.2675 Å, c = 5.2675 Å
α = 90.00°, β = 90.00°, γ = 90.00°
With the nearest neighbours (Å) after each atom.
Positions (direct):
1 Re 0.0000 0.0000 0.0000  6 Bi 2.63
2 Bi 0.0000 0.5000 0.0000  2 Re 2.63
3 Bi 0.5000 0.0000 0.0000  2 Re 2.63
4 Bi 0.0000 0.0000 0.5000  2 Re 2.63
5 O 0.5000 0.5000 0.5000  12 Bi 3.72

Arrangement b

Below is a geometry-optimized ReBi3O structure, with properties calculated at the GGA-PBE level.

total moment: 2.2 μB/f.u.
mass density: 12.2 Mg/m³

a = 4.8342 Å, b = 4.8342 Å, c = 4.8342 Å
α = 90.00°, β = 90.00°, γ = 90.00°
With the nearest neighbours (Å) after each atom.
Positions (direct):
1 Bi 0.0000 0.0000 0.5000  2 O 2.42
2 Bi 0.0000 0.5000 0.0000  2 O 2.42
3 Bi 0.5000 0.0000 0.0000  2 O 2.42
4 O 0.0000 0.0000 0.0000  6 Bi 2.42
5 Re 0.5000 0.5000 0.5000  12 Bi 3.42

Of them, the most stable is arrangement b and the least stable is arrangement a.

Arrangement a

Below is a geometry-optimized ReBi2O6 structure, with properties calculated at the GGA-PBE level.

total moment: 1.0 μB/f.u.
mass density: 7.8 Mg/m³

a = 5.7067 Å, b = 5.9616 Å, c = 8.7975 Å
α = 90.00°, β = 92.12°, γ = 90.00°
With the nearest neighbours (Å) after each atom.
Positions (direct):
1 O 0.1222 0.2067 0.3613  1 Re 1.89
2 O 0.3438 0.6619 0.8289  1 Re 1.97
3 O 0.3778 0.7067 0.1387  1 Re 1.89
4 O 0.8778 0.7933 0.6387  1 Re 1.89
5 O 0.8035 0.6611 0.9899  1 Re 1.99
6 O 0.8438 0.8381 0.3289  1 Re 1.97
7 O 0.6562 0.3381 0.1711  1 Re 1.97
8 O 0.1965 0.3389 0.0101  1 Re 1.99
9 O 0.6222 0.2933 0.8613  1 Re 1.89
10 O 0.3035 0.8389 0.4899  1 Re 1.99
11 O 0.6965 0.1611 0.5101  1 Re 1.99
12 O 0.1562 0.1619 0.6711  1 Re 1.97
13 Bi 0.5022 0.9760 0.7070  6 O 2.28-2.50
14 Bi 0.4978 0.0240 0.2930  6 O 2.28-2.50
15 Bi 0.0022 0.5240 0.2070  6 O 2.28-2.50
16 Bi 0.9978 0.4760 0.7930  6 O 2.28-2.50
17 Re 0.0000 0.0000 0.5000  6 O 1.89-1.99
18 Re 0.5000 0.5000 0.0000  6 O 1.89-1.99

Arrangement b

Below is a geometry-optimized ReBi2O6 structure, with properties calculated at the GGA-PBE level.

total moment: 0.5 μB/f.u.
mass density: 9.4 Mg/m³

a = 5.3845 Å, b = 5.4019 Å, c = 8.8971 Å
α = 90.00°, β = 107.61°, γ = 90.00°
With the nearest neighbours (Å) after each atom.
Positions (direct):
1 O 0.9994 0.7500 0.4987  4 Bi 2.25-2.38
2 O 0.2338 0.2500 0.9676  2 Re 1.93
3 O 0.7662 0.7500 0.0324  2 Re 1.93
4 O 0.7338 0.2500 0.9676  2 Re 1.93
5 O 0.3894 0.5694 0.7789  1 Re 1.91
6 O 0.2662 0.7500 0.0324  2 Re 1.93
7 O 0.4994 0.7500 0.4987  4 Bi 2.25-2.38
8 O 0.1106 0.0694 0.2211  1 Re 1.91
9 O 0.6106 0.4306 0.2211  1 Re 1.91
10 O 0.0006 0.2500 0.5013  4 Bi 2.25-2.38
11 O 0.8894 0.9306 0.7789  1 Re 1.91
12 O 0.5006 0.2500 0.5013  4 Bi 2.25-2.38
13 Bi 0.3273 0.9777 0.6545  5 O 2.25-2.44
14 Bi 0.6727 0.0223 0.3455  5 O 2.25-2.44
15 Bi 0.1727 0.4777 0.3455  5 O 2.25-2.44
16 Bi 0.8273 0.5223 0.6545  5 O 2.25-2.44
17 Re 0.0000 0.0000 0.0000  6 O 1.91-1.93
18 Re 0.5000 0.5000 0.0000  6 O 1.91-1.93

Of them, the most stable is arrangement b and the least stable is arrangement a.

Arrangement a

Below is a geometry-optimized ReBiO4 structure, with properties calculated at the GGA-PBE level.

total moment: 0.8 μB/f.u.
mass density: 5.0 Mg/m³

a = 6.5870 Å, b = 6.8702 Å, c = 6.6941 Å
α = 90.00°, β = 90.00°, γ = 90.00°
With the nearest neighbours (Å) after each atom.
Positions (direct):
1 O 0.1501 0.3345 0.1389  1 Re 1.77
2 O 0.8499 0.6655 0.1389  1 Re 1.77
3 O 0.1984 0.9550 0.3030  1 Re 1.88
4 O 0.8016 0.0450 0.3030  1 Re 1.88
5 O 0.8016 0.9550 0.6970  1 Re 1.88
6 O 0.8499 0.3345 0.8611  1 Re 1.77
7 O 0.1984 0.0450 0.6970  1 Re 1.88
8 O 0.1501 0.6655 0.8611  1 Re 1.77
9 Re 0.0000 0.0000 0.5000  4 O 1.88
10 Re 0.0000 0.5000 0.0000  4 O 1.77
11 Bi 0.5000 0.0000 0.5000  4 O 2.40
12 Bi 0.0000 0.0000 0.0000  8 O 2.43-2.67

Arrangement b

Below is a geometry-optimized ReBiO4 structure, with properties calculated at the GGA-PBE level.

total moment: 0.1 μB/f.u.
mass density: 9.2 Mg/m³

a = 7.9075 Å, b = 7.9075 Å, c = 5.5943 Å
α = 90.00°, β = 90.00°, γ = 151.67°
With the nearest neighbours (Å) after each atom.
Positions (direct):
1 O 0.1856 0.8144 0.5169  1 Re 2.05, 1 Bi 2.29
2 O 0.4108 0.5892 0.2500  2 Re 1.94
3 O 0.0000 0.0000 0.5000  2 Re 1.88
4 O 0.5892 0.4108 0.7500  2 Re 1.94
5 O 0.1856 0.8144 0.9831  1 Re 2.05, 1 Bi 2.29
6 O 0.8144 0.1856 0.0169  1 Re 2.05, 1 Bi 2.29
7 O 0.8144 0.1856 0.4831  1 Re 2.05, 1 Bi 2.29
8 O 0.0000 0.0000 0.0000  2 Re 1.88
9 Re 0.0823 0.9177 0.7500  6 O 1.88-2.05
10 Re 0.9177 0.0823 0.2500  6 O 1.88-2.05
11 Bi 0.3086 0.6914 0.7500  6 O 2.29-2.45
12 Bi 0.6914 0.3086 0.2500  6 O 2.29-2.45

Of them, the most stable is arrangement b and the least stable is arrangement a.

Arrangement a

Below is a geometry-optimized ReBi2O8 structure, with properties calculated at the GGA-PBE level.

total moment: 0.0 μB/f.u.
mass density: 8.0 Mg/m³

a = 3.6109 Å, b = 5.5153 Å, c = 7.9932 Å
α = 102.24°, β = 103.05°, γ = 90.00°
With the nearest neighbours (Å) after each atom.
Positions (direct):
1 O 0.9668 0.8338 0.9335  1 O 1.90, 2 Re 2.04
2 O 0.4142 0.6366 0.8285  1 Re 2.15, 2 O 2.17, 2 Bi 2.36
3 O 0.5858 0.3634 0.1715  1 Re 2.15, 2 O 2.17, 2 Bi 2.36
4 O 0.4026 0.1323 0.8053  1 Re 1.82
5 O 0.5974 0.8677 0.1947  1 Re 1.82
6 O 0.7546 0.6929 0.5092  3 Bi 2.22-2.30
7 O 0.0332 0.1662 0.0665  1 O 1.90, 2 Re 2.04
8 O 0.2454 0.3071 0.4908  3 Bi 2.22-2.30
9 Bi 0.1627 0.5878 0.3254  5 O 2.22-2.36
10 Bi 0.8373 0.4122 0.6746  5 O 2.22-2.36
11 Re 0.5000 0.0000 0.0000  2 O 1.82

Arrangement b

Below is a geometry-optimized ReBi2O8 structure, with properties calculated at the GGA-PBE level.

total moment: 0.0 μB/f.u.
mass density: 7.7 Mg/m³

a = 4.0913 Å, b = 6.4682 Å, c = 6.4682 Å
α = 112.68°, β = 89.65°, γ = 89.65°
With the nearest neighbours (Å) after each atom.
Positions (direct):
1 Bi 0.4933 0.6499 0.2842  3 O 2.09-2.12
2 Bi 0.4933 0.2842 0.6499  3 O 2.09-2.12
3 O 0.3249 0.4601 0.4601  2 Bi 2.09
4 O 0.5209 0.6561 0.9092  1 Re 1.90
5 O 0.9956 0.6660 0.2117  2 Bi 2.10-2.12
6 O 0.9956 0.2117 0.6660  2 Bi 2.10-2.12
7 O 0.0221 0.9601 0.9600  1 Re 1.73
8 O 0.5167 0.0116 0.2632  1 Re 1.88
9 O 0.5209 0.9092 0.6561  1 Re 1.90
10 O 0.5167 0.2632 0.0116  1 Re 1.88
11 Re 0.5997 0.9619 0.9619  5 O 1.73-1.90

Of them, the most stable is arrangement b and the least stable is arrangement a.